# 1
Below is crystalline BaLi2Lu at its relaxed geometry, with properties calculated at the GGA-PBE level.

Unit cell a=3.9182 b=3.9182 c=8.2376 alpha=90.00 beta=90.00 gamma=90.00
Closest atoms and distances in Å follow each position.
Fractional positions:
Li (0.0000, 0.0000, 0.7952)  4 Lu 3.24, 1 Li 3.37
Ba (0.5000, 0.5000, 0.5000)  8 Li 3.69, 4 Ba 3.92, 2 Lu 4.12
Li (0.0000, 0.0000, 0.2048)  4 Lu 3.24, 1 Li 3.37
Lu (0.5000, 0.5000, 0.0000)  8 Li 3.24

Computed properties:
Space group: P4/mmm, No. 123
Total magnetization (μB per formula unit): 0.0
Formation energy (eV/f.u.): 0.74



# 2
Below is crystalline BaLi4Lu at its relaxed geometry, with properties calculated at the GGA-PBE level.

Unit cell a=6.1834 b=6.1834 c=6.1834 alpha=60.00 beta=60.00 gamma=60.00
Closest atoms and distances in Å follow each position.
Fractional positions:
Li (0.1158, 0.6281, 0.6281)  6 Li 3.02-3.17
Ba (0.2500, 0.2500, 0.2500)  12 Li 3.63, 4 Lu 3.79
Li (0.6281, 0.6281, 0.6281)  6 Li 3.02-3.17
Li (0.6281, 0.6281, 0.1158)  6 Li 3.02-3.17
Lu (0.0000, 0.0000, 0.0000)  12 Li 3.62, 4 Ba 3.79
Li (0.6281, 0.1158, 0.6281)  6 Li 3.02-3.17

Computed properties:
Space group: F-43m, No. 216
Total magnetization (μB per formula unit): 0.0
Formation energy (eV/f.u.): 0.90



# 3
Below is crystalline BaLi8Mg2 at its relaxed geometry, with properties calculated at the GGA-PBE level.

Unit cell a=5.3755 b=5.3755 c=11.1098 alpha=90.00 beta=90.00 gamma=90.00
Closest atoms and distances in Å follow each position.
Fractional positions:
Li (0.2495, 0.7505, 0.7864)  4 Li 2.68-2.69
Li (0.7505, 0.7505, 0.2136)  4 Li 2.68-2.69
Ba (0.5000, 0.5000, 0.5000)  8 Li 3.71
Li (0.2495, 0.2495, 0.7864)  4 Li 2.68-2.69
Li (0.7505, 0.2495, 0.2136)  4 Li 2.68-2.69
Li (0.2495, 0.7505, 0.2136)  4 Li 2.68-2.69
Li (0.7505, 0.7505, 0.7864)  4 Li 2.68-2.69
Mg (0.5000, 0.0000, 0.0000)  8 Li 3.04
Li (0.2495, 0.2495, 0.2136)  4 Li 2.68-2.69
Mg (0.0000, 0.5000, 0.0000)  8 Li 3.04
Li (0.7505, 0.2495, 0.7864)  4 Li 2.68-2.69

Computed properties:
Space group: P4/mmm, No. 123
Total magnetization (μB per formula unit): 0.0
Formation energy (eV/f.u.): 2.35



# 4
Below is crystalline Ba5LiMg4 at its relaxed geometry, with properties calculated at the GGA-PBE level.

Unit cell a=4.3507 b=4.3507 c=22.2126 alpha=90.00 beta=90.00 gamma=90.00
Closest atoms and distances in Å follow each position.
Fractional positions:
Ba (0.5000, 0.5000, 0.5000)  8 Mg 3.78
Ba (0.5000, 0.5000, 0.3015)  8 Mg 3.79
Ba (0.5000, 0.5000, 0.1032)  4 Mg 3.78, 4 Li 3.84
Mg (0.0000, 0.0000, 0.5989)  8 Ba 3.78-3.79
Li (0.0000, 0.0000, 0.0000)  8 Ba 3.84
Ba (0.5000, 0.5000, 0.8968)  4 Mg 3.78, 4 Li 3.84
Mg (0.0000, 0.0000, 0.7982)  8 Ba 3.78-3.79
Mg (0.0000, 0.0000, 0.2018)  8 Ba 3.78-3.79
Mg (0.0000, 0.0000, 0.4011)  8 Ba 3.78-3.79
Ba (0.5000, 0.5000, 0.6985)  8 Mg 3.79

Computed properties:
Space group: P4/mmm, No. 123
Total magnetization (μB per formula unit): 0.0
Formation energy (eV/f.u.): -0.38



# 5
Below is crystalline BaLi10Mg3 at its relaxed geometry, with properties calculated at the GGA-PBE level.

Unit cell a=10.1805 b=10.1805 c=10.1805 alpha=60.00 beta=60.00 gamma=60.00
Closest atoms and distances in Å follow each position.
Fractional positions:
Li (0.6107, 0.6107, 0.1678)  3 Mg 2.87, 3 Li 3.19
Li (0.6434, 0.3566, 0.0000)  2 Mg 2.86, 1 Li 2.92
Li (0.1678, 0.6107, 0.6107)  3 Mg 2.87, 3 Li 3.19
Mg (0.7339, 0.2661, 0.2661)  8 Li 2.86-2.87
Mg (0.2661, 0.7339, 0.2661)  8 Li 2.86-2.87
Li (0.3566, 0.6434, 0.0000)  2 Mg 2.86, 1 Li 2.92
Li (0.0000, 0.0000, 0.6434)  2 Mg 2.86, 1 Li 2.92
Li (0.0000, 0.6434, 0.0000)  2 Mg 2.86, 1 Li 2.92
Li (0.3893, 0.3893, 0.8322)  3 Mg 2.87, 3 Li 3.19
Li (0.8322, 0.3893, 0.3893)  3 Mg 2.87, 3 Li 3.19
Li (0.3566, 0.0000, 0.6434)  2 Mg 2.86, 1 Li 2.92
Li (0.0000, 0.3566, 0.6434)  2 Mg 2.86, 1 Li 2.92
Li (0.6434, 0.0000, 0.0000)  2 Mg 2.86, 1 Li 2.92
Mg (0.2661, 0.7339, 0.7339)  8 Li 2.86-2.87
Mg (0.7339, 0.2661, 0.7339)  8 Li 2.86-2.87
Ba (0.2500, 0.2500, 0.2500)  16 Li 3.47-3.88
Mg (0.2661, 0.2661, 0.7339)  8 Li 2.86-2.87
Li (0.6107, 0.6107, 0.6107)  3 Mg 2.87, 3 Li 3.19
Li (0.0000, 0.6434, 0.3566)  2 Mg 2.86, 1 Li 2.92
Li (0.3893, 0.3893, 0.3893)  3 Mg 2.87, 3 Li 3.19
Ba (0.7500, 0.7500, 0.7500)  16 Li 3.47-3.88
Li (0.6434, 0.0000, 0.3566)  2 Mg 2.86, 1 Li 2.92
Li (0.0000, 0.3566, 0.0000)  2 Mg 2.86, 1 Li 2.92
Li (0.6107, 0.1678, 0.6107)  3 Mg 2.87, 3 Li 3.19
Li (0.3566, 0.0000, 0.0000)  2 Mg 2.86, 1 Li 2.92
Li (0.0000, 0.0000, 0.3566)  2 Mg 2.86, 1 Li 2.92
Mg (0.7339, 0.7339, 0.2661)  8 Li 2.86-2.87
Li (0.3893, 0.8322, 0.3893)  3 Mg 2.87, 3 Li 3.19

Computed properties:
Space group: Fm-3m, No. 225
Total magnetization (μB per formula unit): 0.0
Formation energy (eV/f.u.): 1.95



# 6
Below is crystalline Ba2Li9Mg at its relaxed geometry, with properties calculated at the GGA-PBE level.

Unit cell a=6.1255 b=6.1255 c=10.5311 alpha=73.09 beta=73.09 gamma=60.00
Closest atoms and distances in Å follow each position.
Fractional positions:
Li (0.5000, 0.5000, 0.5000)  6 Li 3.26
Ba (0.8680, 0.8680, 0.3960)  9 Li 3.50-3.68
Li (0.4251, 0.4251, 0.2243)  6 Li 2.83-3.06
Li (0.3328, 0.3328, 0.0016)  6 Li 2.83-2.86
Li (0.9254, 0.4251, 0.2243)  6 Li 2.83-3.06
Li (0.6672, 0.6672, 0.9984)  6 Li 2.83-2.86
Ba (0.1320, 0.1320, 0.6040)  9 Li 3.50-3.68
Li (0.0746, 0.5749, 0.7757)  6 Li 2.83-3.06
Li (0.5749, 0.5749, 0.7757)  6 Li 2.83-3.06
Li (0.4251, 0.9254, 0.2243)  6 Li 2.83-3.06
Mg (0.0000, 0.0000, 0.0000)  18 Li 3.54-3.79, 2 Ba 3.93
Li (0.5749, 0.0746, 0.7757)  6 Li 2.83-3.06

Computed properties:
Space group: R-3m, No. 166
Total magnetization (μB per formula unit): 0.0
Formation energy (eV/f.u.): 0.74